Na2LiGaBi2 (PBE-GGA, relaxed); M_tot = 0.0 μB per cell; ΔH_f (0 K) = -0.323 eV/atom; space group = Ibam, No. 72; mass density = 5.40 g cm⁻³; calculated total energy = -34.6 eV per cell
1.0
-3.1447 7.6960 3.4361
3.1447 -7.6960 3.4361
3.1447 7.6960 -3.4361
Na Li Ga Bi
4 2 2 4
Direct
0.1706 0.2431 0.4137
0.3294 0.7431 0.0725
0.6706 0.2569 0.9275
0.8294 0.7569 0.5863
0.2500 0.2500 0.0000
0.7500 0.7500 0.0000
0.2500 0.7500 0.5000
0.7500 0.2500 0.5000
0.1138 0.7386 0.8524
0.3862 0.2386 0.6248
0.6138 0.7614 0.3752
0.8862 0.2614 0.1476